No. 1
VASP calculation (PBE-GGA) on crystalline CaCoRe2 at its relaxed geometry.

DOS(E_F): 1.88 states/eV/atom
electronic total energy: -7.346 eV per atom
symmetry: Fm-3m

```
4
Lattice="0.0000 3.1276 3.1276 3.1276 0.0000 3.1276 3.1276 3.1276 0.0000" Properties=species:S:1:pos:R:3 pbc="T T T"
Re 1.5638 1.5638 1.5638
Re 4.6914 4.6914 4.6914
Ca 0.0000 0.0000 0.0000
Co 3.1276 3.1276 3.1276
```

***

No. 2
VASP calculation (PBE-GGA) on crystalline Ce2Pm3Ir2 at its relaxed geometry.

DOS(E_F): 1.87 states/eV/atom
electronic total energy: -6.752 eV per atom
symmetry: C2/m

```
7
Lattice="-3.1190 -0.9661 -2.0278 4.8536 -3.6288 -2.0939 -1.7075 -3.5872 7.9778" Properties=species:S:1:pos:R:3 pbc="T T T"
Ce -1.1400 -5.2975 4.2772
Ce 1.1672 -2.8846 -0.4212
Pm -1.5595 -0.4830 -1.0139
Pm 2.3377 -5.1679 2.5090
Pm -2.3106 -3.0141 1.3470
Ir 3.6287 -4.0358 -0.0160
Ir -3.6015 -4.1462 3.8720
```